(1)
Below is AsSNF2 at its PBEsol-relaxed geometry, with properties calculated at the SCAN level.

Cell and atoms, written as CIF:
```
data_AsSNF2
_chemical_formula_sum 'As1 S1 N1 F2'
_cell_length_a 4.5648
_cell_length_b 4.5648
_cell_length_c 3.2160
_cell_angle_alpha 90.00
_cell_angle_beta 90.00
_cell_angle_gamma 90.00
_space_group_name_H-M_alt 'P 4/m m m'
_space_group_IT_number 123
_space_group_name_Hall '-P 4 2'
loop_
_atom_site_label
_atom_site_type_symbol
_atom_site_fract_x
_atom_site_fract_y
_atom_site_fract_z
As1 As 0.0000 0.0000 0.0000
S1 S 0.5000 0.5000 0.5000
N1 N 0.5000 0.5000 0.0000
F1 F 0.0000 0.5000 0.5000
```

Results
The value obtained for the density of states at the Fermi level is 0.558 states/eV per atom.


(2)
Below is Ba3CaSb at its PBEsol-relaxed geometry, with properties calculated at the SCAN level.

Cell and atoms, written as CIF:
```
data_Ba3CaSb
_chemical_formula_sum 'Ba3 Ca1 Sb1'
_cell_length_a 6.6567
_cell_length_b 6.6567
_cell_length_c 6.6567
_cell_angle_alpha 90.00
_cell_angle_beta 90.00
_cell_angle_gamma 90.00
_space_group_name_H-M_alt 'P m -3 m'
_space_group_IT_number 221
_space_group_name_Hall '-P 4 2 3'
loop_
_atom_site_label
_atom_site_type_symbol
_atom_site_fract_x
_atom_site_fract_y
_atom_site_fract_z
Ba1 Ba 0.0000 0.0000 0.5000
Ca1 Ca 0.5000 0.5000 0.5000
Sb1 Sb 0.0000 0.0000 0.0000
```

Results
The value obtained for the density of states at the Fermi level is 0.916 states/eV per atom.


(3)
Below is LaAl2Pt at its PBEsol-relaxed geometry, with properties calculated at the SCAN level.

Cell and atoms, written as CIF:
```
data_LaAl2Pt
_chemical_formula_sum 'La3 Al6 Pt3'
_cell_length_a 4.2285
_cell_length_b 4.2285
_cell_length_c 16.4047
_cell_angle_alpha 90.00
_cell_angle_beta 90.00
_cell_angle_gamma 120.00
_space_group_name_H-M_alt 'R -3 m'
_space_group_IT_number 166
_space_group_name_Hall '-R 3 2"'
loop_
_atom_site_label
_atom_site_type_symbol
_atom_site_fract_x
_atom_site_fract_y
_atom_site_fract_z
La1 La 0.0000 0.0000 0.0000
Al1 Al 0.0000 0.0000 0.2071
Pt1 Pt 0.0000 0.0000 0.5000
```

Results
The formation energy is -1080 meV per atom. The value obtained for the density of states at the Fermi level is 0.641 states/eV per atom.


(4)
Below is InMoPt2 at its PBEsol-relaxed geometry, with properties calculated at the SCAN level.

Cell and atoms, written as CIF:
```
data_InMoPt2
_chemical_formula_sum 'In2 Mo2 Pt4'
_cell_length_a 4.0425
_cell_length_b 4.0425
_cell_length_c 7.8305
_cell_angle_alpha 90.00
_cell_angle_beta 90.00
_cell_angle_gamma 90.00
_space_group_name_H-M_alt 'I -4 m 2'
_space_group_IT_number 119
_space_group_name_Hall 'I -4 -2'
loop_
_atom_site_label
_atom_site_type_symbol
_atom_site_fract_x
_atom_site_fract_y
_atom_site_fract_z
In1 In 0.0000 0.0000 0.0000
Mo1 Mo 0.0000 0.5000 0.2500
Pt1 Pt 0.0000 0.0000 0.5000
Pt2 Pt 0.0000 0.5000 0.7500
```

Results
The formation energy is -110 meV per atom. The value obtained for the density of states at the Fermi level is 0.632 states/eV per atom.


(5)
Below is KZrRe at its PBEsol-relaxed geometry, with properties calculated at the SCAN level.

Cell and atoms, written as CIF:
```
data_KZrRe
_chemical_formula_sum 'K1 Zr1 Re1'
_cell_length_a 2.8499
_cell_length_b 2.8499
_cell_length_c 8.9199
_cell_angle_alpha 90.00
_cell_angle_beta 90.00
_cell_angle_gamma 120.00
_space_group_name_H-M_alt 'P 3 m 1'
_space_group_IT_number 156
loop_
_space_group_symop_operation_xyz
'x,y,z'
'-y,x-y,z'
'-x+y,-x,z'
'-y,-x,z'
'-x+y,y,z'
'x,x-y,z'
loop_
_atom_site_label
_atom_site_type_symbol
_atom_site_fract_x
_atom_site_fract_y
_atom_site_fract_z
K1 K 0.0000 0.0000 0.0000
Zr1 Zr 0.6667 0.3333 0.3926
Re1 Re 0.3333 0.6667 0.6739
```

Results
The formation energy is 966 meV per atom. The value obtained for the density of states at the Fermi level is 0.623 states/eV per atom.


(6)
Below is SiNi2Ru at its PBEsol-relaxed geometry, with properties calculated at the SCAN level.

Cell and atoms, written as CIF:
```
data_SiNi2Ru
_chemical_formula_sum 'Si2 Ni4 Ru2'
_cell_length_a 2.7640
_cell_length_b 4.0377
_cell_length_c 8.1634
_cell_angle_alpha 90.00
_cell_angle_beta 90.00
_cell_angle_gamma 90.00
_space_group_name_H-M_alt 'I m m m'
_space_group_IT_number 71
_space_group_name_Hall '-I 2 2'
loop_
_atom_site_label
_atom_site_type_symbol
_atom_site_fract_x
_atom_site_fract_y
_atom_site_fract_z
Si1 Si 0.0000 0.0000 0.0000
Ni1 Ni 0.0000 0.5000 0.2717
Ru1 Ru 0.0000 0.0000 0.5000
```

Results
The value obtained for the density of states at the Fermi level is 0.826 states/eV per atom.


(7)
Below is SiB3Pd at its PBEsol-relaxed geometry, with properties calculated at the SCAN level.

Cell and atoms, written as CIF:
```
data_SiB3Pd
_chemical_formula_sum 'Si1 B3 Pd1'
_cell_length_a 3.9246
_cell_length_b 3.9246
_cell_length_c 3.9246
_cell_angle_alpha 90.00
_cell_angle_beta 90.00
_cell_angle_gamma 90.00
_space_group_name_H-M_alt 'P m -3 m'
_space_group_IT_number 221
_space_group_name_Hall '-P 4 2 3'
loop_
_atom_site_label
_atom_site_type_symbol
_atom_site_fract_x
_atom_site_fract_y
_atom_site_fract_z
Si1 Si 0.0000 0.0000 0.0000
B1 B 0.0000 0.0000 0.5000
Pd1 Pd 0.5000 0.5000 0.5000
```

Results
Its offset from the most stable computed form is 0.0000 eV/atom. The value obtained for the density of states at the Fermi level is 0.342 states/eV per atom.


(8)
Below is Xe at its PBEsol-relaxed geometry, with properties calculated at the SCAN level.

Cell and atoms, written as CIF:
```
data_Xe
_chemical_formula_sum 'Xe4'
_cell_length_a 6.3390
_cell_length_b 6.3390
_cell_length_c 6.3390
_cell_angle_alpha 90.00
_cell_angle_beta 90.00
_cell_angle_gamma 90.00
_space_group_name_H-M_alt 'F m -3 m'
_space_group_IT_number 225
_space_group_name_Hall '-F 4 2 3'
loop_
_atom_site_label
_atom_site_type_symbol
_atom_site_fract_x
_atom_site_fract_y
_atom_site_fract_z
Xe1 Xe 0.0000 0.0000 0.0000
```

Results
The formation energy is 10 meV per atom. Its offset from the most stable computed form is 0.0099 eV/atom. The value obtained for the density of states at the Fermi level is 0.000 states/eV per atom.


(9)
Below is Tb2Ga9Ir3 at its PBEsol-relaxed geometry, with properties calculated at the SCAN level.

Cell and atoms, written as CIF:
```
data_Tb2Ga9Ir3
_chemical_formula_sum 'Tb8 Ga36 Ir12'
_cell_length_a 12.9343
_cell_length_b 7.5021
_cell_length_c 9.3830
_cell_angle_alpha 90.00
_cell_angle_beta 90.00
_cell_angle_gamma 90.00
_space_group_name_H-M_alt 'C m c m'
_space_group_IT_number 63
_space_group_name_Hall '-C 2c 2'
loop_
_atom_site_label
_atom_site_type_symbol
_atom_site_fract_x
_atom_site_fract_y
_atom_site_fract_z
Tb1 Tb 0.1639 0.1665 0.2500
Ga1 Ga 0.0000 0.1300 0.7500
Ga2 Ga 0.0000 0.3327 0.0657
Ga3 Ga 0.1035 0.4426 0.7500
Ga4 Ga 0.1673 0.1675 0.5800
Ir1 Ir 0.0000 0.0000 0.0000
Ir2 Ir 0.1715 0.5000 0.0000
```

Results
The formation energy is -813 meV per atom. The value obtained for the density of states at the Fermi level is 0.227 states/eV per atom.


(10)
Below is Ti2BiS at its PBEsol-relaxed geometry, with properties calculated at the SCAN level.

Cell and atoms, written as CIF:
```
data_Ti2BiS
_chemical_formula_sum 'Ti8 Bi4 S4'
_cell_length_a 6.5503
_cell_length_b 6.5503
_cell_length_c 6.5503
_cell_angle_alpha 90.00
_cell_angle_beta 90.00
_cell_angle_gamma 90.00
_space_group_name_H-M_alt 'F m -3 m'
_space_group_IT_number 225
_space_group_name_Hall '-F 4 2 3'
loop_
_atom_site_label
_atom_site_type_symbol
_atom_site_fract_x
_atom_site_fract_y
_atom_site_fract_z
Ti1 Ti 0.2500 0.2500 0.2500
Bi1 Bi 0.0000 0.0000 0.0000
S1 S 0.0000 0.0000 0.5000
```

Results
Its offset from the most stable computed form is 0.0000 eV/atom. The value obtained for the density of states at the Fermi level is 0.814 states/eV per atom.


(11)
Below is CaMg2Tl at its PBEsol-relaxed geometry, with properties calculated at the SCAN level.

Cell and atoms, written as CIF:
```
data_CaMg2Tl
_chemical_formula_sum 'Ca1 Mg2 Tl1'
_cell_length_a 3.7056
_cell_length_b 3.7056
_cell_length_c 7.4931
_cell_angle_alpha 90.00
_cell_angle_beta 90.00
_cell_angle_gamma 90.00
_space_group_name_H-M_alt 'P 4 m m'
_space_group_IT_number 99
loop_
_space_group_symop_operation_xyz
'x,y,z'
'-y,x,z'
'-x,-y,z'
'y,-x,z'
'-x,y,z'
'y,x,z'
'x,-y,z'
'-y,-x,z'
loop_
_atom_site_label
_atom_site_type_symbol
_atom_site_fract_x
_atom_site_fract_y
_atom_site_fract_z
Ca1 Ca 0.0000 0.0000 0.0000
Mg1 Mg 0.0000 0.0000 0.5160
Mg2 Mg 0.5000 0.5000 0.2956
Tl1 Tl 0.5000 0.5000 0.7314
```

Results
The formation energy is -235 meV per atom. Its offset from the most stable computed form is 0.0514 eV/atom. The value obtained for the density of states at the Fermi level is 0.510 states/eV per atom.


(12)
Below is Np at its PBEsol-relaxed geometry, with properties calculated at the SCAN level.

Cell and atoms, written as CIF:
```
data_Np
_chemical_formula_sum 'Np8'
_cell_length_a 6.4808
_cell_length_b 4.5944
_cell_length_c 4.7125
_cell_angle_alpha 90.00
_cell_angle_beta 90.00
_cell_angle_gamma 90.00
_space_group_name_H-M_alt 'P n m a'
_space_group_IT_number 62
loop_
_space_group_symop_operation_xyz
'x,y,z'
'-x,-y,-z'
'-x+1/2,-y,z+1/2'
'x+1/2,y,-z+1/2'
'x+1/2,-y+1/2,-z+1/2'
'-x+1/2,y+1/2,z+1/2'
'-x,y+1/2,-z'
'x,-y+1/2,z'
loop_
_atom_site_label
_atom_site_type_symbol
_atom_site_fract_x
_atom_site_fract_y
_atom_site_fract_z
Np1 Np 0.0418 0.2500 0.2140
Np2 Np 0.1809 0.7500 0.3536
```

Results
The formation energy is 0 meV per atom.


In eV per atom, the uncorrected energy values for the records above are, in order, -8.787, -33.515, -33.281, -52.275, -35.742, -19.595, -11.456, -36.251, -33.237, -30.425, -23.228, -107.009.